1.
# AuSe2Cl

A PBEsol-optimized structure of AuSe2Cl (meta-GGA SCAN, Alexandria).

```
AuSe2Cl
1.0
7.332 0.000 0.000
0.000 3.719 0.000
-1.254 0.000 6.694
Au Se Cl
2 4 2
direct
0.000 0.000 0.000
0.500 0.500 0.000
0.164 0.500 0.205
0.336 0.000 0.795
0.664 0.000 0.205
0.836 0.500 0.795
0.000 0.500 0.500
0.500 0.000 0.500
```

Properties
Spin magnetization ... 0.00 μB/f.u.

---

2.
# AuSe2Cl

A PBEsol-optimized structure of AuSe2Cl (meta-GGA SCAN, Alexandria).

```
AuSe2Cl
1.0
3.793 0.000 0.000
0.000 5.679 0.000
0.000 0.000 8.046
Au Se Cl
2 4 2
direct
0.000 0.000 0.000
0.500 0.500 0.500
0.000 0.500 0.304
0.000 0.500 0.696
0.500 0.000 0.196
0.500 0.000 0.804
0.000 0.000 0.500
0.500 0.500 0.000
```

Properties
Spin magnetization ... 0.00 μB/f.u.

---

3.
# AuSe2Cl

A PBEsol-optimized structure of AuSe2Cl (meta-GGA SCAN, Alexandria).

```
AuSe2Cl
1.0
4.351 0.000 0.000
0.000 3.762 0.000
-2.132 0.000 5.543
Au Se Cl
1 2 1
direct
0.000 0.000 0.000
0.241 0.500 0.837
0.759 0.500 0.163
0.500 0.000 0.500
```

Properties
Spin magnetization ... 0.00 μB/f.u.

---

4.
# AuSeCl2

A PBEsol-optimized structure of AuSeCl2 (meta-GGA SCAN, Alexandria).

```
AuSeCl2
1.0
3.219 0.000 0.000
0.000 6.374 0.000
0.000 0.000 8.182
Au Se Cl
2 2 4
direct
0.000 0.000 0.000
0.500 0.500 0.500
0.000 0.000 0.500
0.500 0.500 0.000
0.000 0.500 0.271
0.000 0.500 0.729
0.500 0.000 0.229
0.500 0.000 0.771
```

Properties
Spin magnetization ... 0.00 μB/f.u.

---

5.
# AuSe2Cl

A PBEsol-optimized structure of AuSe2Cl (meta-GGA SCAN, Alexandria).

```
AuSe2Cl
1.0
8.170 0.000 0.000
0.000 8.170 0.000
0.000 0.000 5.057
Au Se Cl
4 8 4
direct
0.000 0.000 0.000
0.000 0.500 0.250
0.500 0.000 0.750
0.500 0.500 0.500
0.193 0.750 0.125
0.250 0.193 0.875
0.250 0.307 0.375
0.307 0.750 0.625
0.693 0.250 0.625
0.750 0.693 0.375
0.750 0.807 0.875
0.807 0.250 0.125
0.000 0.000 0.500
0.000 0.500 0.750
0.500 0.000 0.250
0.500 0.500 0.000
```

Properties
Spin magnetization ... 0.00 μB/f.u.

---

6.
# AuSe2Cl

A PBEsol-optimized structure of AuSe2Cl (meta-GGA SCAN, Alexandria).

```
AuSe2Cl
1.0
3.582 0.000 0.000
0.000 6.747 0.000
0.000 0.000 7.569
Au Se Cl
2 4 2
direct
0.000 0.000 0.000
0.500 0.500 0.500
0.000 0.000 0.477
0.000 0.500 0.739
0.500 0.000 0.239
0.500 0.500 0.977
0.000 0.500 0.274
0.500 0.000 0.774
```

Properties
Spin magnetization ... 0.00 μB/f.u.

---

7.
# Si2AuCl

A PBEsol-optimized structure of Si2AuCl (meta-GGA SCAN, Alexandria).

```
Si2AuCl
1.0
6.412 0.000 0.000
0.000 6.412 0.000
0.000 0.000 6.412
Si Au Cl
8 4 4
direct
0.250 0.250 0.250
0.250 0.250 0.750
0.250 0.750 0.250
0.250 0.750 0.750
0.750 0.250 0.250
0.750 0.250 0.750
0.750 0.750 0.250
0.750 0.750 0.750
0.000 0.000 0.000
0.000 0.500 0.500
0.500 0.000 0.500
0.500 0.500 0.000
0.000 0.000 0.500
0.000 0.500 0.000
0.500 0.000 0.000
0.500 0.500 0.500
```

Properties
Relative energy among the computed polymorphs ... 435 meV per atom
Spin magnetization ... 0.00 μB/f.u.

---

8.
# Si2AuCl

A PBEsol-optimized structure of Si2AuCl (meta-GGA SCAN, Alexandria).

```
Si2AuCl
1.0
3.994 0.000 0.000
-1.997 3.459 0.000
0.000 0.000 17.242
Si Au Cl
6 3 3
direct
0.000 0.000 0.220
0.000 0.000 0.780
0.333 0.667 0.446
0.333 0.667 0.887
0.667 0.333 0.113
0.667 0.333 0.554
0.000 0.000 0.500
0.333 0.667 0.167
0.667 0.333 0.833
0.000 0.000 0.000
0.333 0.667 0.667
0.667 0.333 0.333
```

Properties
Relative energy among the computed polymorphs ... 0 meV per atom
Spin magnetization ... 0.00 μB/f.u.

---

9.
# Si2AuCl

A PBEsol-optimized structure of Si2AuCl (meta-GGA SCAN, Alexandria).

```
Si2AuCl
1.0
4.943 0.000 0.000
0.000 4.943 0.000
0.000 0.000 2.798
Si Au Cl
2 1 1
direct
0.000 0.500 0.000
0.500 0.000 0.000
0.000 0.000 0.500
0.500 0.500 0.500
```

Properties
Relative energy among the computed polymorphs ... 437 meV per atom
Spin magnetization ... 0.00 μB/f.u.

---

10.
# SnAu3Cl

A PBEsol-optimized structure of SnAu3Cl (meta-GGA SCAN, Alexandria).

```
SnAu3Cl
1.0
4.855 0.000 0.000
0.000 4.855 0.000
0.000 0.000 4.855
Sn Au Cl
1 3 1
direct
0.000 0.000 0.000
0.000 0.500 0.500
0.500 0.000 0.500
0.500 0.500 0.000
0.500 0.500 0.500
```

Properties
Spin magnetization ... 0.00 μB/f.u.

---

11.
# Sn2Au2Cl

A PBEsol-optimized structure of Sn2Au2Cl (meta-GGA SCAN, Alexandria).

```
Sn2Au2Cl
1.0
5.088 0.000 0.000
0.000 5.088 0.000
0.000 0.000 9.426
Sn Au Cl
4 4 2
direct
0.000 0.500 0.250
0.000 0.500 0.750
0.500 0.000 0.250
0.500 0.000 0.750
0.000 0.000 0.141
0.000 0.000 0.859
0.500 0.500 0.359
0.500 0.500 0.641
0.000 0.000 0.500
0.500 0.500 0.000
```

Properties
Spin magnetization ... 0.00 μB/f.u.

---

12.
# SrAu2Cl

A PBEsol-optimized structure of SrAu2Cl (meta-GGA SCAN, Alexandria).

```
SrAu2Cl
1.0
5.568 0.000 0.000
0.000 5.631 0.000
0.000 0.000 5.830
Sr Au Cl
2 4 2
direct
0.000 0.000 0.000
0.500 0.500 0.000
0.000 0.250 0.500
0.000 0.750 0.500
0.500 0.250 0.500
0.500 0.750 0.500
0.000 0.500 0.000
0.500 0.000 0.000
```

Properties
Relative energy among the computed polymorphs ... 0 meV per atom
Spin magnetization ... 0.00 μB/f.u.

---

13.
# Sr2AuCl

A PBEsol-optimized structure of Sr2AuCl (meta-GGA SCAN, Alexandria).

```
Sr2AuCl
1.0
3.894 0.000 0.000
0.000 3.994 0.000
0.000 0.000 15.664
Sr Au Cl
4 2 2
direct
0.000 0.000 0.000
0.000 0.500 0.264
0.500 0.000 0.764
0.500 0.500 0.500
0.000 0.500 0.852
0.500 0.000 0.352
0.000 0.000 0.595
0.500 0.500 0.095
```

Properties
Relative energy among the computed polymorphs ... 144 meV per atom
Spin magnetization ... 0.00 μB/f.u.

---

14.
# SrAuCl

A PBEsol-optimized structure of SrAuCl (meta-GGA SCAN, Alexandria).

```
SrAuCl
1.0
4.342 0.000 0.000
-2.171 3.761 0.000
0.000 0.000 5.527
Sr Au Cl
1 1 1
direct
0.000 0.000 0.000
0.333 0.667 0.678
0.667 0.333 0.260
```

Properties
Spin magnetization ... 0.00 μB/f.u.

---

15.
# Sr2AuCl

A PBEsol-optimized structure of Sr2AuCl (meta-GGA SCAN, Alexandria).

```
Sr2AuCl
1.0
4.880 0.000 0.000
0.000 3.883 0.000
0.000 0.000 12.173
Sr Au Cl
4 2 2
direct
0.000 0.000 0.000
0.000 0.500 0.500
0.500 0.000 0.254
0.500 0.500 0.754
0.500 0.000 0.526
0.500 0.500 0.026
0.000 0.000 0.757
0.000 0.500 0.257
```

Properties
Relative energy among the computed polymorphs ... 133 meV per atom
Spin magnetization ... 0.00 μB/f.u.

---

16.
# Sr2AuCl

A PBEsol-optimized structure of Sr2AuCl (meta-GGA SCAN, Alexandria).

```
Sr2AuCl
1.0
4.291 0.000 0.000
-2.145 3.716 0.000
0.000 0.000 23.048
Sr Au Cl
6 3 3
direct
0.000 0.000 0.244
0.000 0.000 0.756
0.333 0.667 0.423
0.333 0.667 0.910
0.667 0.333 0.090
0.667 0.333 0.577
0.000 0.000 0.500
0.333 0.667 0.167
0.667 0.333 0.833
0.000 0.000 0.000
0.333 0.667 0.667
0.667 0.333 0.333
```

Properties
Relative energy among the computed polymorphs ... 0 meV per atom
Spin magnetization ... 0.00 μB/f.u.

---

17.
# Sr2AuCl

A PBEsol-optimized structure of Sr2AuCl (meta-GGA SCAN, Alexandria).

```
Sr2AuCl
1.0
7.661 0.000 0.000
0.000 7.661 0.000
0.000 0.000 7.661
Sr Au Cl
8 4 4
direct
0.250 0.250 0.250
0.250 0.250 0.750
0.250 0.750 0.250
0.250 0.750 0.750
0.750 0.250 0.250
0.750 0.250 0.750
0.750 0.750 0.250
0.750 0.750 0.750
0.000 0.000 0.000
0.000 0.500 0.500
0.500 0.000 0.500
0.500 0.500 0.000
0.000 0.000 0.500
0.000 0.500 0.000
0.500 0.000 0.000
0.500 0.500 0.500
```

Properties
Relative energy among the computed polymorphs ... 258 meV per atom
Spin magnetization ... 0.00 μB/f.u.

---

18.
# Sr2AuCl

A PBEsol-optimized structure of Sr2AuCl (meta-GGA SCAN, Alexandria).

```
Sr2AuCl
1.0
4.403 0.000 0.000
0.000 4.403 0.000
0.000 0.000 6.188
Sr Au Cl
2 1 1
direct
0.000 0.000 0.000
0.500 0.500 0.500
0.000 0.000 0.500
0.500 0.500 0.000
```

Properties
Relative energy among the computed polymorphs ... 35 meV per atom
Spin magnetization ... 0.00 μB/f.u.

---

19.
# SrAu2Cl

A PBEsol-optimized structure of SrAu2Cl (meta-GGA SCAN, Alexandria).

```
SrAu2Cl
1.0
7.070 0.000 0.000
0.000 7.070 0.000
0.000 0.000 7.070
Sr Au Cl
4 8 4
direct
0.000 0.000 0.000
0.000 0.500 0.500
0.500 0.000 0.500
0.500 0.500 0.000
0.000 0.000 0.500
0.000 0.500 0.000
0.250 0.250 0.250
0.250 0.750 0.750
0.500 0.000 0.000
0.500 0.500 0.500
0.750 0.250 0.750
0.750 0.750 0.250
0.250 0.250 0.750
0.250 0.750 0.250
0.750 0.250 0.250
0.750 0.750 0.750
```

Properties
Relative energy among the computed polymorphs ... 241 meV per atom
Spin magnetization ... 0.00 μB/f.u.

---

20.
# TaAu2Cl

A PBEsol-optimized structure of TaAu2Cl (meta-GGA SCAN, Alexandria).

```
TaAu2Cl
1.0
5.062 0.000 0.000
0.000 5.062 0.000
0.000 0.000 2.828
Ta Au Cl
1 2 1
direct
0.000 0.000 0.000
0.000 0.500 0.500
0.500 0.000 0.500
0.500 0.500 0.000
```

Properties
Relative energy among the computed polymorphs ... 689 meV per atom
Spin magnetization ... 0.00 μB/f.u.

---

21.
# TaAuCl2

A PBEsol-optimized structure of TaAuCl2 (meta-GGA SCAN, Alexandria).

```
TaAuCl2
1.0
2.939 0.000 0.000
0.000 4.417 0.000
0.000 0.000 5.365
Ta Au Cl
1 1 2
direct
0.000 0.000 0.000
0.500 0.000 0.500
0.000 0.500 0.500
0.500 0.500 0.000
```

Properties
Relative energy among the computed polymorphs ... 851 meV per atom
Spin magnetization ... 0.00 μB/f.u.

---

22.
# TaAu2Cl

A PBEsol-optimized structure of TaAu2Cl (meta-GGA SCAN, Alexandria).

```
TaAu2Cl
1.0
2.916 0.000 0.000
0.000 2.916 0.000
0.000 0.000 8.685
Ta Au Cl
1 2 1
direct
0.000 0.000 0.000
0.000 0.000 0.454
0.500 0.500 0.220
0.500 0.500 0.814
```

Properties
Relative energy among the computed polymorphs ... 0 meV per atom
Spin magnetization ... 0.00 μB/f.u.

---

23.
# TaAuCl2

A PBEsol-optimized structure of TaAuCl2 (meta-GGA SCAN, Alexandria).

```
TaAuCl2
1.0
3.242 0.000 0.000
-1.621 2.807 0.000
0.000 0.000 25.205
Ta Au Cl
3 3 6
direct
0.000 0.000 0.000
0.333 0.667 0.667
0.667 0.333 0.333
0.000 0.000 0.255
0.333 0.667 0.921
0.667 0.333 0.588
0.000 0.000 0.515
0.000 0.000 0.733
0.333 0.667 0.182
0.333 0.667 0.400
0.667 0.333 0.066
0.667 0.333 0.849
```

Properties
Relative energy among the computed polymorphs ... 0 meV per atom
Spin magnetization ... 0.00 μB/f.u.

---

24.
# TaAu2Cl

A PBEsol-optimized structure of TaAu2Cl (meta-GGA SCAN, Alexandria).

```
TaAu2Cl
1.0
2.893 0.000 0.000
0.000 4.554 0.000
0.000 0.000 5.259
Ta Au Cl
1 2 1
direct
0.000 0.000 0.000
0.000 0.500 0.500
0.500 0.000 0.500
0.500 0.500 0.000
```

Properties
Relative energy among the computed polymorphs ... 475 meV per atom
Spin magnetization ... 0.00 μB/f.u.

---

25.
# TcAu2Cl

A PBEsol-optimized structure of TcAu2Cl (meta-GGA SCAN, Alexandria).

```
TcAu2Cl
1.0
3.770 0.000 0.000
0.000 3.770 0.000
0.000 0.000 4.876
Tc Au Cl
1 2 1
direct
0.000 0.000 0.000
0.000 0.500 0.500
0.500 0.000 0.500
0.500 0.500 0.000
```

Properties
Relative energy among the computed polymorphs ... 472 meV per atom
Spin magnetization ... 4.08 μB/f.u.

---

26.
# TcAuCl2

A PBEsol-optimized structure of TcAuCl2 (meta-GGA SCAN, Alexandria).

```
TcAuCl2
1.0
2.839 0.000 0.000
0.000 4.073 0.000
-1.387 0.000 5.819
Tc Au Cl
1 1 2
direct
0.000 0.000 0.000
0.000 0.000 0.500
0.165 0.500 0.230
0.835 0.500 0.770
```

Properties
Relative energy among the computed polymorphs ... 0 meV per atom
Spin magnetization ... 0.00 μB/f.u.

---

27.
# TcAuCl2

A PBEsol-optimized structure of TcAuCl2 (meta-GGA SCAN, Alexandria).

```
TcAuCl2
1.0
5.951 0.000 0.000
0.000 8.367 0.000
-1.302 0.000 2.799
Tc Au Cl
2 2 4
direct
0.000 0.000 0.000
0.500 0.500 0.000
0.000 0.500 0.000
0.500 0.000 0.000
0.250 0.250 0.000
0.250 0.750 0.000
0.750 0.250 0.000
0.750 0.750 0.000
```

Properties
Relative energy among the computed polymorphs ... 20 meV per atom
Spin magnetization ... 3.01 μB/f.u.

---

28.
# TcAu2Cl

A PBEsol-optimized structure of TcAu2Cl (meta-GGA SCAN, Alexandria).

```
TcAu2Cl
1.0
2.910 0.000 0.000
-1.455 2.520 0.000
0.000 0.000 27.507
Tc Au Cl
3 6 3
direct
0.000 0.000 0.000
0.333 0.667 0.667
0.667 0.333 0.333
0.000 0.000 0.254
0.000 0.000 0.503
0.333 0.667 0.170
0.333 0.667 0.921
0.667 0.333 0.588
0.667 0.333 0.836
0.000 0.000 0.728
0.333 0.667 0.395
0.667 0.333 0.062
```

Properties
Relative energy among the computed polymorphs ... 0 meV per atom
Spin magnetization ... 0.00 μB/f.u.

---

29.
# TcAu2Cl

A PBEsol-optimized structure of TcAu2Cl (meta-GGA SCAN, Alexandria).

```
TcAu2Cl
1.0
3.773 0.000 0.000
0.000 3.773 0.000
0.000 0.000 9.828
Tc Au Cl
2 4 2
direct
0.000 0.000 0.000
0.500 0.500 0.500
0.000 0.500 0.250
0.000 0.500 0.750
0.500 0.000 0.250
0.500 0.000 0.750
0.000 0.000 0.500
0.500 0.500 0.000
```

Properties
Relative energy among the computed polymorphs ... 458 meV per atom
Spin magnetization ... 4.06 μB/f.u.

---

30.
# TcAu2Cl

A PBEsol-optimized structure of TcAu2Cl (meta-GGA SCAN, Alexandria).

```
TcAu2Cl
1.0
6.502 0.000 0.000
0.000 6.502 0.000
0.000 0.000 6.502
Tc Au Cl
4 8 4
direct
0.000 0.000 0.000
0.000 0.500 0.500
0.500 0.000 0.500
0.500 0.500 0.000
0.000 0.000 0.500
0.000 0.500 0.000
0.250 0.250 0.250
0.250 0.750 0.750
0.500 0.000 0.000
0.500 0.500 0.500
0.750 0.250 0.750
0.750 0.750 0.250
0.250 0.250 0.750
0.250 0.750 0.250
0.750 0.250 0.250
0.750 0.750 0.750
```

Properties
Relative energy among the computed polymorphs ... 461 meV per atom
Spin magnetization ... 3.68 μB/f.u.

---

no.,raw formation energy (eV/f.u.)
1,-0.5
2,0.6
3,-0.8
4,1.1
5,0.6
6,0.7
7,2.1
8,0.4
9,2.1
10,4.3
11,-0.8
12,-4.4
13,-5.3
14,-4.5
15,-5.4
16,-5.9
17,-4.9
18,-5.7
19,-3.4
20,2.1
21,1.5
22,-0.7
23,-1.9
24,1.2
25,2.4
26,1.8
27,1.8
28,0.5
29,2.3
30,2.3